Entry from Alexandria via LeMat-Bulk: MnAsF2 after structural relaxation (GGA+U).

Offset from the most stable computed form in eV/f.u.: 1.57
SG: I-42d (122)

a b c (Å): 6.1983 6.1983 5.9824
angles (deg): 58.80 58.80 90.00
Last column: nearest neighbours and their distance in Å.
Sites, in units of the cell vectors:
F1 0.2566 0.6250 0.2500  2 Mn 1.99
F2 0.8750 0.7434 0.7500  2 Mn 1.99
F3 0.4934 0.1250 0.2500  2 Mn 1.99
F4 0.3750 0.5066 0.7500  2 Mn 1.99
As1 0.7500 0.2500 0.5000  4 F 3.01
As2 0.0000 0.0000 0.0000  4 F 3.01
Mn1 0.5000 0.5000 0.0000  4 F 1.99
Mn2 0.2500 0.7500 0.5000  4 F 1.99